VASP calculation (PBE+U) on Sr2CoSe3O9 after structural relaxation.

Cell lengths 7.477, 7.778, 8.862 Å; angles 103.48, 105.47, 95.43 degrees
Element x y z (fractional)
Sr  0.128  0.484  0.307
Sr  0.251  0.908  0.111
Sr  0.749  0.092  0.889
Sr  0.872  0.516  0.693
Co  0.406  0.662  0.747
Co  0.594  0.338  0.253
Se  0.138  0.914  0.707
Se  0.265  0.365  0.914
Se  0.405  0.212  0.542
Se  0.595  0.788  0.458
Se  0.735  0.635  0.086
Se  0.862  0.086  0.293
O  0.012  0.125  0.182
O  0.025  0.300  0.854
O  0.134  0.695  0.598
O  0.274  0.591  0.912
O  0.325  0.367  0.117
O  0.338  0.422  0.569
O  0.353  0.942  0.854
O  0.371  0.751  0.329
O  0.439  0.180  0.353
O  0.561  0.820  0.647
O  0.629  0.249  0.671
O  0.647  0.058  0.146
O  0.662  0.578  0.431
O  0.675  0.633  0.883
O  0.726  0.409  0.088
O  0.866  0.305  0.402
O  0.975  0.700  0.146
O  0.988  0.875  0.818

Output
Final energy ... -5.8246 eV/atom
ρ ... 4289 kg/m3
Total moment ... 3.025 μB per formula unit
Space group ... No. 2